A geometry-optimized Ba3TlAu3 structure, computed with PBE-GGA.

Output
Formation enthalpy at 0 K in eV/atom: -0.617

a = 12.9396 Å, b = 4.6535 Å, c = 16.6194 Å
α = 90.00°, β = 109.14°, γ = 90.00°
Space group C2/m (No. 12)
One atom of each set of equivalent atoms:
Ba 0.0209 0.0000 0.3807 x4
Ba 0.1047 0.0000 0.9253 x4
Ba 0.2338 0.0000 0.2302 x4
Tl 0.2396 0.5000 0.4076 x4
Au 0.0167 0.5000 0.2255 x4
Au 0.1089 0.5000 0.0777 x4
Au 0.1185 0.5000 0.5421 x4


A geometry-optimized AcTi2NbO8 structure, computed with PBE-GGA.

Output
Formation energy (no corrections) in meV/atom: -2967.4

a = 8.7493 Å, b = 5.9667 Å, c = 7.3593 Å
α = 90.00°, β = 90.65°, γ = 90.00°
Space group C2/m (No. 12)
One atom of each set of equivalent atoms:
Ac 0.0000 0.0000 0.0000 x2
Ti 0.1324 0.5000 0.2809 x4
Nb 0.0000 0.0000 0.5000 x2
O 0.0208 0.2308 0.2970 x8
O 0.2159 0.5000 0.0657 x4
O 0.2218 0.0000 0.5422 x4


A geometry-optimized Tb2Er3Ni4 structure, computed with PBE-GGA.

Output
Formation enthalpy at 0 K in eV/atom: -0.400

a = 7.2913 Å, b = 7.2231 Å, c = 7.5268 Å
α = 90.00°, β = 106.94°, γ = 90.00°
Space group P2_1/c (No. 14)
One atom of each set of equivalent atoms:
Tb 0.2010 0.1789 0.0960 x4
Er 0.2372 0.6705 0.2510 x4
Er 0.5000 0.0000 0.5000 x2
Ni 0.0899 0.5296 0.8827 x4
Ni 0.4998 0.1194 0.8835 x4


A geometry-optimized LiGdSn2 structure, computed with PBE-GGA.

Output
Formation enthalpy at 0 K in eV/atom: -0.573

a = 4.6420 Å, b = 4.6420 Å, c = 4.4747 Å
α = 90.00°, β = 90.00°, γ = 90.00°
Space group P4/mmm (No. 123)
One atom of each set of equivalent atoms:
Li 0.0000 0.0000 0.0000 x1
Gd 0.5000 0.5000 0.0000 x1
Sn 0.0000 0.5000 0.5000 x2


A geometry-optimized Cs2TiRe2 structure, computed with PBE-GGA.

Output
ΔE to the lowest computed polymorph in meV/atom: 1373
Formation enthalpy at 0 K in eV/atom: 2.739

a = 9.4571 Å, b = 9.4571 Å, c = 2.8994 Å
α = 90.00°, β = 90.00°, γ = 90.00°
Space group P4/mbm (No. 127)
One atom of each set of equivalent atoms:
Cs 0.1266 0.3734 0.0000 x4
Ti 0.0000 0.0000 0.0000 x2
Re 0.1836 0.6836 0.5000 x4


A geometry-optimized Si3As2 structure, computed with PBE-GGA.

Output
ΔE to the lowest computed polymorph in meV/atom: 0
Formation energy (no corrections) in meV/atom: 276.8

a = 9.4042 Å, b = 14.4897 Å, c = 5.2428 Å
α = 90.00°, β = 90.00°, γ = 90.00°
Space group Fdd2 (No. 43)
One atom of each set of equivalent atoms:
Si 0.0000 0.0000 0.0000 x8
Si 0.0456 0.3743 0.8088 x16
As 0.0793 0.2070 0.9203 x16


A geometry-optimized PIrCl2 structure, computed with PBE-GGA.

Output
ΔE to the lowest computed polymorph in meV/atom: 1333
Formation energy (no corrections) in meV/atom: 670.1

a = 5.5101 Å, b = 6.0932 Å, c = 8.1309 Å
α = 90.00°, β = 90.00°, γ = 90.00°
Space group Fmmm (No. 69)
One atom of each set of equivalent atoms:
P 0.0000 0.0000 0.0000 x4
Ir 0.0000 0.0000 0.5000 x4
Cl 0.0000 0.2500 0.2500 x8


A geometry-optimized Tb6Dy5In structure, computed with PBE-GGA.

Output
Formation enthalpy at 0 K in eV/atom: -0.057

a = 4.9455 Å, b = 9.9298 Å, c = 15.0082 Å
α = 90.00°, β = 90.00°, γ = 90.00°
Space group Immm (No. 71)
One atom of each set of equivalent atoms:
Tb 0.0000 0.2444 0.0000 x4
Tb 0.0000 0.2538 0.3340 x8
Dy 0.0000 0.0000 0.1672 x4
Dy 0.0000 0.0000 0.5000 x2
Dy 0.0000 0.5000 0.1636 x4
In 0.0000 0.5000 0.5000 x2


A geometry-optimized BaMnAgGe2 structure, computed with PBE-GGA.

Output
Formation enthalpy at 0 K in eV/atom: -0.132

a = 4.6246 Å, b = 4.6246 Å, c = 5.3249 Å
α = 90.00°, β = 90.00°, γ = 90.00°
Space group P4/mmm (No. 123)
One atom of each set of equivalent atoms:
Ba 0.0000 0.0000 0.0000 x1
Mn 0.5000 0.5000 0.5000 x1
Ag 0.5000 0.5000 0.0000 x1
Ge 0.0000 0.5000 0.5000 x2


A geometry-optimized Ti5Pb3C structure, computed with PBE-GGA.

Output
Formation enthalpy at 0 K in eV/atom: -0.234

a = 8.2545 Å, b = 8.2545 Å, c = 5.5799 Å
α = 90.00°, β = 90.00°, γ = 120.00°
Space group P6_3/mcm (No. 193)
One atom of each set of equivalent atoms:
Ti 0.0000 0.2023 0.2500 x6
Ti 0.3333 0.6667 0.0000 x4
Pb 0.0000 0.4014 0.7500 x6
C 0.0000 0.0000 0.0000 x2


A geometry-optimized MgUNi2Ge2 structure, computed with PBE-GGA.

Output
Formation enthalpy at 0 K in eV/atom: -0.346

a = 4.1496 Å, b = 4.1496 Å, c = 6.6575 Å
α = 90.00°, β = 90.00°, γ = 120.00°
Space group P-3m1 (No. 164)
One atom of each set of equivalent atoms:
Mg 0.0000 0.0000 0.0000 x1
U 0.0000 0.0000 0.5000 x1
Ni 0.3333 0.6667 0.2366 x2
Ge 0.3333 0.6667 0.7645 x2


A geometry-optimized Cd2CuPb structure, computed with PBE-GGA.

Output
Formation enthalpy at 0 K in eV/atom: 0.134

a = 10.1800 Å, b = 3.1149 Å, c = 6.5296 Å
α = 90.00°, β = 114.92°, γ = 90.00°
Space group Cm (No. 8)
One atom of each set of equivalent atoms:
Cd 0.0000 0.0000 0.0000 x2
Cd 0.2168 0.0000 0.6599 x2
Cu 0.2189 0.5000 0.0030 x2
Pb 0.4049 0.0000 0.3866 x2


A geometry-optimized CdP structure, computed with PBE-GGA.

Output
ΔE to the lowest computed polymorph in meV/atom: 18
Formation enthalpy at 0 K in eV/atom: -0.024

a = 3.2654 Å, b = 4.2455 Å, c = 6.9796 Å
α = 90.00°, β = 90.00°, γ = 90.00°
Space group Pmma (No. 51)
One atom of each set of equivalent atoms:
Cd 0.2500 0.0000 0.1711 x2
P 0.2500 0.5000 0.3963 x2


A geometry-optimized PrAgPb structure, computed with PBE-GGA.

Output
Formation enthalpy at 0 K in eV/atom: -0.234

a = 3.6821 Å, b = 3.6821 Å, c = 11.9862 Å
α = 90.00°, β = 90.00°, γ = 90.00°
Space group I4mm (No. 107)
One atom of each set of equivalent atoms:
Pr 0.0000 0.0000 0.0000 x2
Ag 0.0000 0.0000 0.3387 x2
Pb 0.0000 0.0000 0.6954 x2


A geometry-optimized Al2PdPt structure, computed with PBE-GGA.

Output
Formation enthalpy at 0 K in eV/atom: -0.131

a = 2.7659 Å, b = 4.8162 Å, c = 10.1099 Å
α = 90.00°, β = 90.00°, γ = 90.00°
Space group Immm (No. 71)
One atom of each set of equivalent atoms:
Al 0.0000 0.0000 0.2481 x4
Pd 0.0000 0.0000 0.5000 x2
Pt 0.0000 0.0000 0.0000 x2


A geometry-optimized Tb3ZrN4 structure, computed with PBE-GGA.

Output
ΔE to the lowest computed polymorph in meV/atom: 0
Formation energy (no corrections) in meV/atom: -1695.2

a = 6.8740 Å, b = 9.6803 Å, c = 3.4208 Å
α = 90.00°, β = 90.00°, γ = 90.00°
Space group Cmmm (No. 65)
One atom of each set of equivalent atoms:
Tb 0.0000 0.0000 0.0000 x2
Tb 0.2500 0.2500 0.5000 x4
Zr 0.0000 0.5000 0.0000 x2
N 0.0000 0.2588 0.0000 x4
N 0.2361 0.5000 0.5000 x4


A geometry-optimized CsTc3As structure, computed with PBE-GGA.

Output
ΔE to the lowest computed polymorph in meV/atom: 1683
Formation enthalpy at 0 K in eV/atom: 3.156

a = 4.9696 Å, b = 4.9696 Å, c = 4.9696 Å
α = 90.00°, β = 90.00°, γ = 90.00°
Space group Pm-3m (No. 221)
One atom of each set of equivalent atoms:
Cs 0.0000 0.0000 0.0000 x1
Tc 0.0000 0.0000 0.5000 x3
As 0.5000 0.5000 0.5000 x1


A geometry-optimized CsCoAgBr6 structure, computed with PBE-GGA.

Output
Formation energy (no corrections) in meV/atom: -570.1

a = 6.9035 Å, b = 6.9035 Å, c = 8.0118 Å
α = 90.00°, β = 90.00°, γ = 120.00°
Space group P312 (No. 149)
One atom of each set of equivalent atoms:
Cs 0.0000 0.0000 0.0000 x1
Co 0.6667 0.3333 0.5000 x1
Ag 0.3333 0.6667 0.5000 x1
Br 0.3907 0.0413 0.6756 x6


A geometry-optimized La2CoRuC structure, computed with PBE-GGA.

Output
Formation enthalpy at 0 K in eV/atom: -0.034

a = 5.2711 Å, b = 5.2711 Å, c = 3.5905 Å
α = 90.00°, β = 90.00°, γ = 90.00°
Space group P4/mmm (No. 123)
One atom of each set of equivalent atoms:
La 0.0000 0.5000 0.0000 x2
Co 0.0000 0.0000 0.5000 x1
Ru 0.5000 0.5000 0.5000 x1
C 0.0000 0.0000 0.0000 x1


A geometry-optimized BeFeP structure, computed with PBE-GGA.

Output
ΔE to the lowest computed polymorph in meV/atom: 77
Formation enthalpy at 0 K in eV/atom: -0.325

a = 7.3749 Å, b = 3.2057 Å, c = 5.2776 Å
α = 90.00°, β = 95.03°, γ = 90.00°
Space group C2/m (No. 12)
One atom of each set of equivalent atoms:
Be 0.1341 0.0000 0.4380 x4
Fe 0.0834 0.5000 0.7555 x4
P 0.2080 0.5000 0.1684 x4


Listing energy for the structures above in their given order: -22.28 -105.24 -49.67 -26.29 -20.80 -24.18 -15.28 -54.22 -23.84 -61.93 -35.76 -9.10 -6.37 -12.04 -19.24 -69.30 -20.82 -25.98 -35.63 -18.57 eV per formula unit.
Listing calculated density for the structures above in their given order: 8.48 4.70 9.23 6.92 8.79 4.35 7.16 8.48 6.49 8.80 8.78 8.76 4.92 9.32 8.77 9.10 6.79 3.91 7.49 5.12 g cm⁻³.